#P
Material: Li3SiF
Method: DFT, PBE-GGA
State: optimized geometry

Lattice parameters (Å, degrees): 4.9191 4.9191 4.9191 90.00 90.00 90.00
Closest atoms and distances in Å follow each position.
Atoms (fractional coordinates):
Li 0.0000 0.0000 0.5000  2 Si 2.46
Li 0.0000 0.5000 0.0000  2 Si 2.46
Li 0.5000 0.0000 0.0000  2 Si 2.46
Si 0.0000 0.0000 0.0000  6 Li 2.46
F 0.5000 0.5000 0.5000  12 Li 3.48

Properties
SG: Pm-3m
Spin magnetization in μB per formula unit: 2.0

#Q
Material: Li3SiF
Method: DFT, PBE-GGA
State: optimized geometry

Lattice parameters (Å, degrees): 3.9967 3.9967 3.9967 90.00 90.00 90.00
Closest atoms and distances in Å follow each position.
Atoms (fractional coordinates):
Li 0.0000 0.0000 0.5000  2 F 2.00
Li 0.0000 0.5000 0.0000  2 F 2.00
Li 0.5000 0.0000 0.0000  2 F 2.00
Si 0.5000 0.5000 0.5000  12 Li 2.83
F 0.0000 0.0000 0.0000  6 Li 2.00

Properties
SG: Pm-3m
Spin magnetization in μB per formula unit: 0.0

Which one sits at the bottom of the stability order? #P does.

#P
Material: Li2SiF
Method: DFT, PBE-GGA
State: optimized geometry

Lattice parameters (Å, degrees): 5.4719 5.4719 5.4719 117.74 117.74 93.96
Closest atoms and distances in Å follow each position.
Atoms (fractional coordinates):
Li 0.3750 0.2454 0.3704  2 F 1.83
Li 0.7546 0.1250 0.1296  2 F 1.83
Li 0.8750 0.0046 0.6296  2 F 1.83
Li 0.9954 0.6250 0.8704  2 F 1.83
Si 0.2500 0.7500 0.5000  4 Li 2.74
Si 0.5000 0.5000 0.0000  4 Li 2.74
F 0.0000 0.0000 0.0000  4 Li 1.83
F 0.7500 0.2500 0.5000  4 Li 1.83

Properties
SG: I-42d
Spin magnetization in μB per formula unit: 0.0

#Q
Material: Li2SiF
Method: DFT, PBE-GGA
State: optimized geometry

Lattice parameters (Å, degrees): 4.4248 4.4248 4.4248 60.00 60.00 60.00
Closest atoms and distances in Å follow each position.
Atoms (fractional coordinates):
Li 0.2500 0.2500 0.2500  4 F 2.71, 4 Si 2.71
Li 0.7500 0.7500 0.7500  4 F 2.71, 4 Si 2.71
Si 0.0000 0.0000 0.0000  8 Li 2.71
F 0.5000 0.5000 0.5000  8 Li 2.71

Properties
SG: Fm-3m
Spin magnetization in μB per formula unit: 1.4

Which one sits at the bottom of the stability order? #Q does.

#P
Material: LiSiF6
Method: DFT, PBE-GGA
State: optimized geometry

Lattice parameters (Å, degrees): 5.1469 5.1469 4.7366 95.62 95.62 124.52
Closest atoms and distances in Å follow each position.
Atoms (fractional coordinates):
Li 0.0000 0.0000 0.0000  6 F 2.00-2.12
Si 0.5000 0.5000 0.5000  6 F 1.70-1.71
F 0.1692 0.4287 0.2907  1 Si 1.70
F 0.2662 0.2662 0.7267  1 Si 1.71
F 0.4287 0.1692 0.2907  1 Si 1.70
F 0.5713 0.8308 0.7093  1 Si 1.70
F 0.7338 0.7338 0.2733  1 Si 1.71
F 0.8308 0.5713 0.7093  1 Si 1.70

Properties
SG: C2/m
Spin magnetization in μB per formula unit: 1.0

#Q
Material: LiSiF6
Method: DFT, PBE-GGA
State: optimized geometry

Lattice parameters (Å, degrees): 5.2704 5.2704 5.2704 60.00 60.00 60.00
Closest atoms and distances in Å follow each position.
Atoms (fractional coordinates):
Li 0.0000 0.0000 0.0000  6 F 2.03
Si 0.5000 0.5000 0.5000  6 F 1.70
F 0.2718 0.2718 0.7282  1 Si 1.70
F 0.2718 0.7282 0.2718  1 Si 1.70
F 0.2718 0.7282 0.7282  1 Si 1.70
F 0.7282 0.2718 0.2718  1 Si 1.70
F 0.7282 0.2718 0.7282  1 Si 1.70
F 0.7282 0.7282 0.2718  1 Si 1.70

Properties
SG: Fm-3m
Spin magnetization in μB per formula unit: 1.1

Which one sits at the bottom of the stability order? #P does.